This record from Alexandria describes an optimized crystal structure of SrCd2Br. The functional is GGA-PBE.

Lattice parameters (Å, degrees): 9.303 9.303 9.303 27.25 27.25 27.25
Fractional positions:
Sr 0.499 0.499 0.499
Br 0.769 0.769 0.769
Cd 0.977 0.977 0.977
Cd 0.254 0.254 0.254

Summary:
Distance to the lowest polymorph of the same formula: 0.0384 eV/atom
DOS(E_F): 1.025 states/eV per atom
VASP energy: -7.79 eV for the cell shown
Formation energy without anion corrections: -0.65 eV per atom
Density: 4.4 g/cm³
Crystal system: trigonal